This record from the Alexandria database describes an optimized crystal structure of Cs2LaCe2O7. The functional is PBE.

Computed properties:
E_tot   -0.2603 Ha/atom
Mass density   5.7 g cm⁻³
Fermi-level density of states   8.1 states/eV/f.u.

Structure (POSCAR):
```
Cs2LaCe2O7
1.0
4.374 -0.003 0.010
0.003 4.374 0.010
2.159 2.156 12.226
Cs La Ce O
2 1 2 7
Direct
0.805 0.805 0.390
0.195 0.195 0.610
0.000 0.000 0.000
0.590 0.590 0.819
0.410 0.410 0.181
0.500 0.500 0.000
0.323 0.323 0.353
0.677 0.677 0.647
0.933 0.433 0.135
0.433 0.933 0.135
0.567 0.067 0.865
0.067 0.567 0.865
```